Compound: TlCoHg2
Source: Alexandria
Functional: GGA-PBE
Structure: optimized geometry

## Properties
ΔH_f (0 K) = 1.2 eV per formula unit
Magnetic moment = 0.6 μB per formula unit
Volume = 85.9 Å³/cell
Energy above the lowest structure with this stoichiometry = 0.001 eV/atom
Crystal system = orthorhombic

Cell and atoms, written as POSCAR:
```
TlCoHg2
1.0
-6.716 -1.333 -0.775
-6.111 -2.537 1.925
-2.373 3.255 1.983
Tl Hg Co
1 2 1
direct
0.250 0.250 0.250
0.066 0.066 0.933
0.434 0.434 0.567
0.750 0.750 0.750
```


Compound: TlCoHg2
Source: Alexandria
Functional: GGA-PBE
Structure: optimized geometry

## Properties
ΔH_f (0 K) = 1.6 eV per formula unit
Magnetic moment = 1.5 μB per formula unit
Volume = 86.9 Å³/cell
Energy above the lowest structure with this stoichiometry = 0.092 eV/atom
Crystal system = tetragonal

Cell and atoms, written as POSCAR:
```
TlCoHg2
1.0
3.178 0.000 0.000
0.000 3.172 0.000
0.000 0.000 8.619
Hg Co Tl
2 1 1
direct
0.000 0.000 0.946
0.500 0.500 0.238
0.500 0.500 0.760
0.000 0.000 0.556
```


Compound: TlCoHg2
Source: Alexandria
Functional: GGA-PBE
Structure: optimized geometry

## Properties
ΔH_f (0 K) = 2.4 eV per formula unit
Magnetic moment = 1.6 μB per formula unit
Volume = 88.9 Å³/cell
Energy above the lowest structure with this stoichiometry = 0.281 eV/atom
Crystal system = cubic

Cell and atoms, written as POSCAR:
```
TlCoHg2
1.0
-1.023 -4.902 -0.130
0.478 -2.769 4.146
-4.075 -1.770 2.313
Co Hg Tl
1 2 1
direct
0.000 0.000 0.000
0.750 0.750 0.750
0.250 0.250 0.250
0.500 0.500 0.500
```


Compound: TlCoHg2
Source: Alexandria
Functional: GGA-PBE
Structure: optimized geometry

## Properties
ΔH_f (0 K) = 1.6 eV per formula unit
Magnetic moment = 1.5 μB per formula unit
Volume = 87.6 Å³/cell
Energy above the lowest structure with this stoichiometry = 0.082 eV/atom
Crystal system = trigonal

Cell and atoms, written as POSCAR:
```
TlCoHg2
1.0
9.610 0.018 0.011
9.045 3.246 0.011
9.045 1.582 2.834
Tl Hg Co
1 2 1
direct
0.250 0.250 0.250
0.014 0.014 0.014
0.486 0.486 0.486
0.750 0.750 0.750
```


Compound: TlCoHg2
Source: Alexandria
Functional: GGA-PBE
Structure: optimized geometry

## Properties
ΔH_f (0 K) = 2.3 eV per formula unit
Magnetic moment = 1.6 μB per formula unit
Volume = 86.9 Å³/cell
Energy above the lowest structure with this stoichiometry = 0.278 eV/atom
Crystal system = cubic

Cell and atoms, written as POSCAR:
```
TlCoHg2
1.0
4.972 0.000 0.000
2.486 4.306 0.000
2.486 1.435 4.060
Hg Tl Co
2 1 1
direct
0.250 0.250 0.250
0.000 0.000 0.000
0.750 0.750 0.750
0.500 0.500 0.500
```


Compound: TlCoHg
Source: Alexandria
Functional: GGA-PBE
Structure: optimized geometry

## Properties
ΔH_f (0 K) = 1.8 eV per formula unit
Magnetic moment = 1.5 μB per formula unit
Volume = 64.0 Å³/cell
Energy above the lowest structure with this stoichiometry = 0.112 eV/atom
Crystal system = trigonal

Cell and atoms, written as POSCAR:
```
TlCoHg
1.0
4.405 0.000 0.000
-2.202 3.815 0.000
0.000 0.000 3.809
Tl Hg Co
1 1 1
direct
0.333 0.667 0.713
0.667 0.333 0.254
0.000 0.000 0.033
```